No. 1
A relaxed structure of TbDyCu2Bi4, computed with PBE.

## Properties
Crystal system ... tetragonal
Calculated volume ... 24.8 Å³ per atom
Electronic total energy ... -4.5244 eV per atom
Space-group type ... No. 99

Cell: 4.5395 4.5395 9.6273 Å, 90.00 90.00 90.00°
Closest atoms and distances in Å follow each position.
Fractional positions:
Tb 0.0000 0.0000 0.0000  4 Cu 3.21, 8 Bi 3.28-3.42
Dy 0.5000 0.5000 0.5298  4 Cu 3.20, 8 Bi 3.27-3.41
Cu 0.0000 0.5000 0.7638  4 Bi 2.78
Cu 0.5000 0.0000 0.7638  4 Bi 2.78
Bi 0.0000 0.0000 0.5970  4 Cu 2.78
Bi 0.0000 0.5000 0.2653  4 Bi 3.21, 2 Dy 3.41, 2 Tb 3.42
Bi 0.5000 0.0000 0.2653  4 Bi 3.21, 2 Dy 3.41, 2 Tb 3.42
Bi 0.5000 0.5000 0.9311  4 Cu 2.78



No. 2
A relaxed structure of HfSiMo, computed with PBE.

## Properties
Crystal system ... hexagonal
Calculated volume ... 17.0 Å³ per atom
Electronic total energy ... -8.9948 eV per atom
Space-group type ... No. 186

Cell: 4.4173 4.4173 6.0229 Å, 90.00 90.00 120.00°
Closest atoms and distances in Å follow each position.
Fractional positions:
Hf 0.0000 0.0000 0.0000  6 Mo 2.86-3.08, 6 Si 2.86-3.07, 2 Hf 3.01
Hf 0.0000 0.0000 0.5000  6 Mo 2.86-3.08, 6 Si 2.86-3.07, 2 Hf 3.01
Si 0.3333 0.6667 0.2155  4 Mo 2.58-2.59, 3 Hf 2.86
Si 0.6667 0.3333 0.7155  4 Mo 2.58-2.59, 3 Hf 2.86
Mo 0.3333 0.6667 0.7869  4 Si 2.58-2.59, 3 Hf 2.86
Mo 0.6667 0.3333 0.2869  4 Si 2.58-2.59, 3 Hf 2.86



No. 3
A relaxed structure of ScZnGe2, computed with PBE.

## Properties
Crystal system ... cubic
Calculated volume ... 18.8 Å³ per atom
Electronic total energy ... -4.2569 eV per atom
Space-group type ... No. 216

Cell: 4.7348 4.7348 4.7348 Å, 60.00 60.00 60.00°
Closest atoms and distances in Å follow each position.
Fractional positions:
Sc 0.0000 0.0000 0.0000  4 Ge 2.90, 4 Zn 2.90
Zn 0.2500 0.2500 0.2500  4 Ge 2.90, 4 Sc 2.90
Ge 0.5000 0.5000 0.5000  4 Ge 2.90, 4 Zn 2.90
Ge 0.7500 0.7500 0.7500  4 Ge 2.90, 4 Sc 2.90



No. 4
A relaxed structure of HfTlAgTe2S, computed with PBE.

## Properties
Crystal system ... orthorhombic
Calculated volume ... 29.0 Å³ per atom
Electronic total energy ... -4.8693 eV per atom
Space-group type ... No. 63

Cell: 8.5899 8.5899 10.0945 Å, 90.00 90.00 152.12°
Closest atoms and distances in Å follow each position.
Fractional positions:
Hf 0.0000 0.0000 0.0000  2 S 2.58
Hf 0.0000 0.0000 0.5000  2 S 2.58
Tl 0.2228 0.7772 0.7500  2 Ag 3.44, 6 Te 3.58-3.59
Tl 0.7772 0.2228 0.2500  2 Ag 3.44, 6 Te 3.58-3.59
Ag 0.4423 0.5577 0.2500  2 S 2.55, 2 Te 2.74
Ag 0.5577 0.4423 0.7500  2 S 2.55, 2 Te 2.74
Te 0.3720 0.6280 0.0048  1 Ag 2.74, 2 Hf 2.97
Te 0.3720 0.6280 0.4952  1 Ag 2.74, 2 Hf 2.97
Te 0.6280 0.3720 0.5048  1 Ag 2.74, 2 Hf 2.97
Te 0.6280 0.3720 0.9952  1 Ag 2.74, 2 Hf 2.97
S 0.0319 0.9681 0.2500  2 Ag 2.55, 2 Hf 2.58
S 0.9681 0.0319 0.7500  2 Ag 2.55, 2 Hf 2.58



No. 5
A relaxed structure of Ho2Sc2C, computed with PBE.

## Properties
Crystal system ... trigonal
Calculated volume ... 22.9 Å³ per atom
Electronic total energy ... -6.4303 eV per atom
Space-group type ... No. 164

Cell: 3.3764 3.3764 11.5975 Å, 90.00 90.00 120.00°
Closest atoms and distances in Å follow each position.
Fractional positions:
Ho 0.3333 0.6667 0.3793  9 Ho 3.38-3.41, 3 Sc 3.73
Ho 0.6667 0.3333 0.6207  9 Ho 3.38-3.41, 3 Sc 3.73
Sc 0.3333 0.6667 0.8949  3 C 2.30
Sc 0.6667 0.3333 0.1051  3 C 2.30
C 0.0000 0.0000 0.0000  6 Sc 2.30



No. 6
A relaxed structure of LaNd2Al7Ag2, computed with PBE.

## Properties
Crystal system ... trigonal
Calculated volume ... 20.8 Å³ per atom
Electronic total energy ... -4.3356 eV per atom
Space-group type ... No. 166

Cell: 9.5162 9.5162 9.5162 Å, 34.70 34.70 34.70°
Closest atoms and distances in Å follow each position.
Fractional positions:
La 0.0000 0.0000 0.0000  6 Ag 3.28, 12 Al 3.60
Nd 0.1416 0.1416 0.1416  12 Al 3.25-3.35, 3 Nd 3.54
Nd 0.8584 0.8584 0.8584  12 Al 3.25-3.35, 3 Nd 3.54
Al 0.0746 0.5868 0.5868  2 Ag 2.72-2.79, 5 Al 2.77-2.91
Al 0.4132 0.4132 0.9254  2 Ag 2.72-2.79, 5 Al 2.77-2.91
Al 0.4132 0.9254 0.4132  2 Ag 2.72-2.79, 5 Al 2.77-2.91
Al 0.5000 0.5000 0.5000  6 Al 2.81
Al 0.5868 0.0746 0.5868  2 Ag 2.72-2.79, 5 Al 2.77-2.91
Al 0.5868 0.5868 0.0746  2 Ag 2.72-2.79, 5 Al 2.77-2.91
Al 0.9254 0.4132 0.4132  2 Ag 2.72-2.79, 5 Al 2.77-2.91
Ag 0.3360 0.3360 0.3360  6 Al 2.72-2.79
Ag 0.6640 0.6640 0.6640  6 Al 2.72-2.79



No. 7
A relaxed structure of NbAlFe, computed with PBE.

## Properties
Crystal system ... orthorhombic
Calculated volume ... 14.5 Å³ per atom
Electronic total energy ... -7.6275 eV per atom
Space-group type ... No. 62

Cell: 5.8829 3.9900 7.4357 Å, 90.00 90.00 90.00°
Closest atoms and distances in Å follow each position.
Fractional positions:
Nb 0.0291 0.2500 0.1676  3 Fe 2.46-2.52
Nb 0.4709 0.7500 0.6676  3 Fe 2.46-2.52
Nb 0.5291 0.2500 0.3324  3 Fe 2.46-2.52
Nb 0.9709 0.7500 0.8324  3 Fe 2.46-2.52
Al 0.1399 0.2500 0.5548  4 Fe 2.43-2.53, 2 Al 2.71
Al 0.3601 0.7500 0.0548  4 Fe 2.43-2.53, 2 Al 2.71
Al 0.6399 0.2500 0.9452  4 Fe 2.43-2.53, 2 Al 2.71
Al 0.8601 0.7500 0.4452  4 Fe 2.43-2.53, 2 Al 2.71
Fe 0.2258 0.2500 0.8750  4 Al 2.43-2.53, 3 Nb 2.46-2.52
Fe 0.2742 0.7500 0.3750  4 Al 2.43-2.53, 3 Nb 2.46-2.52
Fe 0.7258 0.2500 0.6250  4 Al 2.43-2.53, 3 Nb 2.46-2.52
Fe 0.7742 0.7500 0.1250  4 Al 2.43-2.53, 3 Nb 2.46-2.52



No. 8
A relaxed structure of SrAcAg, computed with PBE.

## Properties
Crystal system ... cubic
Calculated volume ... 38.8 Å³ per atom
Electronic total energy ... -2.8865 eV per atom
Space-group type ... No. 216

Cell: 5.4812 5.4812 5.4812 Å, 60.00 60.00 60.00°
Closest atoms and distances in Å follow each position.
Fractional positions:
Sr 0.0000 0.0000 0.0000  4 Ag 3.36
Ac 0.5000 0.5000 0.5000  4 Ag 3.36
Ag 0.7500 0.7500 0.7500  4 Ac 3.36, 4 Sr 3.36



No. 9
A relaxed structure of LaMgScNi, computed with PBE.

## Properties
Crystal system ... cubic
Calculated volume ... 21.2 Å³ per atom
Electronic total energy ... -4.5979 eV per atom
Space-group type ... No. 216

Cell: 4.9294 4.9294 4.9294 Å, 60.00 60.00 60.00°
Closest atoms and distances in Å follow each position.
Fractional positions:
La 0.0000 0.0000 0.0000  4 Ni 3.02, 4 Sc 3.02
Mg 0.5000 0.5000 0.5000  4 Ni 3.02, 4 Sc 3.02
Sc 0.2500 0.2500 0.2500  4 La 3.02, 4 Mg 3.02
Ni 0.7500 0.7500 0.7500  4 La 3.02, 4 Mg 3.02



No. 10
A relaxed structure of Tm4Zn3Co2, computed with PBE.

## Properties
Crystal system ... monoclinic
Calculated volume ... 19.7 Å³ per atom
Electronic total energy ... -4.3090 eV per atom
Space-group type ... No. 10
Formation energy from the elements ... -0.319 eV/atom

Cell: 6.9115 3.5858 7.4707 Å, 90.00 106.47 90.00°
Closest atoms and distances in Å follow each position.
Fractional positions:
Tm 0.0841 0.0000 0.2226  2 Co 2.60
Tm 0.3938 0.0000 0.7036  4 Co 2.79-2.87, 2 Zn 3.09
Tm 0.6062 0.0000 0.2964  4 Co 2.79-2.87, 2 Zn 3.09
Tm 0.9159 0.0000 0.7774  2 Co 2.60
Zn 0.0000 0.5000 0.5000  2 Co 2.71, 4 Tm 2.92
Zn 0.3019 0.5000 0.0163  1 Co 2.76, 1 Zn 2.82, 4 Tm 3.03-3.09
Zn 0.6981 0.5000 0.9837  1 Co 2.76, 1 Zn 2.82, 4 Tm 3.03-3.09
Co 0.3435 0.5000 0.3944  1 Co 2.29
Co 0.6565 0.5000 0.6056  1 Co 2.29



No. 11
A relaxed structure of LiInSnPd, computed with PBE.

## Properties
Crystal system ... cubic
Calculated volume ... 18.7 Å³ per atom
Electronic total energy ... -3.8734 eV per atom
Space-group type ... No. 216

Cell: 4.7306 4.7306 4.7306 Å, 60.00 60.00 60.00°
Closest atoms and distances in Å follow each position.
Fractional positions:
Li 0.0000 0.0000 0.0000  4 In 2.90, 4 Sn 2.90
In 0.2500 0.2500 0.2500  4 Li 2.90, 4 Pd 2.90
Sn 0.7500 0.7500 0.7500  4 Li 2.90, 4 Pd 2.90
Pd 0.5000 0.5000 0.5000  4 In 2.90, 4 Sn 2.90



No. 12
A relaxed structure of YCoSiAg, computed with PBE.

## Properties
Crystal system ... cubic
Calculated volume ... 16.9 Å³ per atom
Electronic total energy ... -5.5226 eV per atom
Space-group type ... No. 216

Cell: 4.5693 4.5693 4.5693 Å, 60.00 60.00 60.00°
Closest atoms and distances in Å follow each position.
Fractional positions:
Y 0.0000 0.0000 0.0000  4 Ag 2.80, 4 Co 2.80
Co 0.7500 0.7500 0.7500  4 Si 2.80, 4 Y 2.80
Si 0.5000 0.5000 0.5000  4 Co 2.80, 4 Ag 2.80
Ag 0.2500 0.2500 0.2500  4 Si 2.80, 4 Y 2.80